{"formula": "LaMn2", "functional": "PBE", "state": "optimized geometry", "lattice_angstrom": [[3.658, 0.000, 0.000], [0.000, 3.658, 0.000], [0.000, 0.000, 4.856]], "species": ["La", "Mn", "Mn"], "fractional_positions": [[0.000, 0.000, 0.000], [0.000, 0.500, 0.500], [0.500, 0.000, 0.500]], "ef_ev_per_atom": 0.622, "m_tot_mub_per_cell": 5.564}